Record 1
# Sr3Ge2N2 | Alexandria | GGA-PBEsol | optimized geometry
data_Sr3Ge2N2
_symmetry_space_group_name_H-M 'P 1 21/m 1'
_symmetry_Int_Tables_number 11
_cell_length_a 8.974
_cell_length_b 3.844
_cell_length_c 9.561
_cell_angle_alpha 90.00
_cell_angle_beta 112.56
_cell_angle_gamma 90.00
loop_
_symmetry_equiv_pos_as_xyz
'x,y,z'
'-x,-y,-z'
'-x,y+1/2,-z'
'x,-y+1/2,z'
loop_
_atom_site_label
_atom_site_type_symbol
_atom_site_fract_x
_atom_site_fract_y
_atom_site_fract_z
Sr1 Sr 0.019 0.250 0.170
Sr2 Sr 0.183 0.750 0.556
Sr3 Sr 0.381 0.750 0.147
Ge1 Ge 0.260 0.250 0.849
Ge2 Ge 0.414 0.250 0.443
N1 N 0.070 0.250 0.673
N2 N 0.185 0.250 0.008
# - Calculated total energy: -5.40 eV/atom
# - Formation energy without anion corrections: -0.76 eV/atom

Record 2
# Sr2GeN2 | Alexandria | GGA-PBEsol | optimized geometry
data_Sr2GeN2
_symmetry_space_group_name_H-M 'P 42/m b c'
_symmetry_Int_Tables_number 135
_symmetry_space_group_name_Hall '-P 4c 2ab'
_cell_length_a 11.696
_cell_length_b 11.696
_cell_length_c 5.335
_cell_angle_alpha 90.00
_cell_angle_beta 90.00
_cell_angle_gamma 90.00
loop_
_atom_site_label
_atom_site_type_symbol
_atom_site_fract_x
_atom_site_fract_y
_atom_site_fract_z
Sr1 Sr 0.022 0.349 0.000
Sr2 Sr 0.081 0.133 0.500
Ge1 Ge 0.152 0.744 0.500
N1 N 0.012 0.665 0.500
N2 N 0.098 0.134 0.000
# - Calculated total energy: -5.92 eV/atom
# - Formation energy without anion corrections: -0.79 eV/atom
# - Energy above the most stable polymorph in this dataset: 0 meV/atom

Record 3
# Sr2GeN2 | Alexandria | GGA-PBEsol | optimized geometry
data_Sr2GeN2
_symmetry_space_group_name_H-M 'C m c e'
_symmetry_Int_Tables_number 64
_symmetry_space_group_name_Hall '-C 2ac 2'
_cell_length_a 5.366
_cell_length_b 11.336
_cell_length_c 12.089
_cell_angle_alpha 90.00
_cell_angle_beta 90.00
_cell_angle_gamma 90.00
loop_
_atom_site_label
_atom_site_type_symbol
_atom_site_fract_x
_atom_site_fract_y
_atom_site_fract_z
Sr1 Sr 0.000 0.048 0.142
Sr2 Sr 0.000 0.144 0.559
Ge1 Ge 0.000 0.240 0.319
N1 N 0.000 0.079 0.358
N2 N 0.000 0.160 0.941
# - Calculated total energy: -5.91 eV/atom
# - Formation energy without anion corrections: -0.78 eV/atom
# - Energy above the most stable polymorph in this dataset: 7 meV/atom

In Å³ per atom, the volume values for the records above are, in order, 21.75 18.24 18.38.